VASP calculation (PBE) on a geometry-optimized NiTe2Au structure.

Calculated values
DFT total energy in eV/atom: -3.56
Formation energy from raw total energies in meV/atom: 279
DOS(E_F) in states/eV/cell: 3.75
M_tot in μB/f.u.: 0.000
Offset from the most stable computed form in eV/f.u.: 1.44
Space-group type: No. 65

Cell and atoms, written as POSCAR:
```
NiTe2Au
1.0
1.905 -2.865 0.000
1.905 2.865 0.000
0.000 0.000 8.055
Ni Te Au
1 2 1
direct
0.000 0.000 0.000
0.500 0.500 0.217
0.500 0.500 0.783
0.000 0.000 0.500
```


VASP calculation (PBE) on a geometry-optimized Ni5Te8Au structure.

Calculated values
DFT total energy in eV/atom: -4.27
Formation energy from raw total energies in meV/atom: -181
DOS(E_F) in states/eV/cell: 6.71
M_tot in μB/f.u.: 0.000
Space-group type: No. 216

Cell and atoms, written as POSCAR:
```
Ni5Te8Au
1.0
0.000 5.465 5.465
5.465 0.000 5.465
5.465 5.465 0.000
Ni Te Au
5 8 1
direct
0.000 0.000 0.000
0.374 0.374 0.374
0.374 0.374 0.879
0.374 0.879 0.374
0.879 0.374 0.374
0.134 0.134 0.134
0.134 0.134 0.598
0.134 0.598 0.134
0.173 0.609 0.609
0.598 0.134 0.134
0.609 0.173 0.609
0.609 0.609 0.173
0.609 0.609 0.609
0.750 0.750 0.750
```


VASP calculation (PBE) on a geometry-optimized NiTe2Au structure.

Calculated values
DFT total energy in eV/atom: -3.90
Formation energy from raw total energies in meV/atom: -69
DOS(E_F) in states/eV/cell: 1.95
M_tot in μB/f.u.: 0.000
Offset from the most stable computed form in eV/f.u.: 0.04
Space-group type: No. 12

Cell and atoms, written as POSCAR:
```
NiTe2Au
1.0
3.325 -1.913 0.000
3.325 1.913 0.000
-2.118 0.000 6.804
Ni Te Au
1 2 1
direct
0.000 0.000 0.000
0.269 0.269 0.790
0.731 0.731 0.210
0.500 0.500 0.500
```


VASP calculation (PBE) on a geometry-optimized Ni2Te2Au structure.

Calculated values
DFT total energy in eV/atom: -4.14
Formation energy from raw total energies in meV/atom: 81
DOS(E_F) in states/eV/cell: 6.62
M_tot in μB/f.u.: 0.000
Space-group type: No. 127

Cell and atoms, written as POSCAR:
```
Ni2Te2Au
1.0
7.032 0.000 0.000
0.000 7.032 0.000
0.000 0.000 3.650
Ni Te Au
4 4 2
direct
0.130 0.370 0.000
0.370 0.870 0.000
0.630 0.130 0.000
0.870 0.630 0.000
0.166 0.666 0.500
0.334 0.166 0.500
0.666 0.834 0.500
0.834 0.334 0.500
0.000 0.000 0.000
0.500 0.500 0.000
```